La2Tb5Pr4 | PBE | relaxed

Computed properties:
Space group ... C2/m (12)
Total moment ... 0.0 μB per cell
E_tot ... -51.06 eV/cell

a = 5.918 Å, b = 6.496 Å, c = 10.400 Å
α = 86.16°, β = 106.53°, γ = 90.00°
Fractional positions:
La 0.403 0.544 0.805
La 0.597 0.456 0.195
Tb 0.787 0.395 0.573
Tb 0.213 0.605 0.427
Tb 0.867 0.870 0.734
Tb 0.500 0.000 0.000
Tb 0.133 0.130 0.266
Pr 0.305 0.075 0.610
Pr 0.032 0.736 0.064
Pr 0.695 0.925 0.390
Pr 0.968 0.264 0.936

La7Tb3Pr2 | PBE | relaxed

Computed properties:
Space group ... P2/m (10)
Total moment ... 0.0 μB per cell
E_tot ... -57.25 eV/cell

a = 3.616 Å, b = 6.593 Å, c = 18.533 Å
α = 74.75°, β = 90.00°, γ = 90.00°
Fractional positions:
La 0.500 0.229 0.509
La 0.500 0.771 0.491
La 0.000 0.555 0.165
La 0.000 0.000 0.000
La 0.000 0.445 0.835
La 0.500 0.943 0.829
La 0.500 0.057 0.171
Tb 0.500 0.500 0.000
Tb 0.000 0.118 0.338
Tb 0.000 0.882 0.662
Pr 0.500 0.609 0.331
Pr 0.500 0.391 0.669

La2Tb7Pr2 | PBE | relaxed

Computed properties:
Space group ... C2/m (12)
Total moment ... 0.0 μB per cell
E_tot ... -50.20 eV/cell

a = 6.155 Å, b = 8.208 Å, c = 8.208 Å
α = 91.41°, β = 73.68°, γ = 73.68°
Fractional positions:
La 0.500 0.212 0.788
La 0.500 0.788 0.212
Tb 0.171 0.065 0.590
Tb 0.829 0.410 0.935
Tb 0.829 0.935 0.410
Tb 0.171 0.590 0.065
Tb 0.000 0.000 0.000
Tb 0.578 0.764 0.764
Tb 0.422 0.236 0.236
Pr 0.814 0.401 0.401
Pr 0.186 0.599 0.599

LaTb6Pr3 | PBE | relaxed

Computed properties:
Space group ... Cmc2_1 (36)
Total moment ... 0.0 μB per cell
E_tot ... -89.96 eV/cell

a = 6.968 Å, b = 10.002 Å, c = 10.002 Å
α = 93.49°, β = 90.00°, γ = 90.00°
Fractional positions:
La 0.024 0.191 0.809
La 0.524 0.809 0.191
Tb 0.200 0.720 0.511
Tb 0.700 0.511 0.720
Tb 0.308 0.525 0.947
Tb 0.808 0.947 0.525
Tb 0.249 0.989 0.011
Tb 0.512 0.212 0.788
Tb 0.012 0.788 0.212
Tb 0.749 0.011 0.989
Tb 0.308 0.053 0.475
Tb 0.808 0.475 0.053
Tb 0.200 0.489 0.280
Tb 0.700 0.280 0.489
Pr 0.488 0.827 0.757
Pr 0.988 0.757 0.827
Pr 0.208 0.400 0.600
Pr 0.708 0.600 0.400
Pr 0.988 0.173 0.243
Pr 0.488 0.243 0.173

La3TbPr4 | PBE | relaxed

Computed properties:
Space group ... C2/m (12)
Total moment ... 0.0 μB per cell
E_tot ... -37.06 eV/cell

a = 3.552 Å, b = 6.341 Å, c = 13.131 Å
α = 94.94°, β = 97.77°, γ = 90.00°
Fractional positions:
Pr 0.722 0.241 0.443
Pr 0.278 0.759 0.557
Pr 0.106 0.233 0.211
Pr 0.894 0.767 0.789
Tb 0.500 0.000 0.000
La 0.000 0.500 0.000
La 0.145 0.745 0.289
La 0.855 0.255 0.711

LaTb4Pr5 | PBE | relaxed

Computed properties:
Space group ... C2/m (12)
Total moment ... 0.0 μB per cell
E_tot ... -46.12 eV/cell

a = 3.662 Å, b = 11.249 Å, c = 8.888 Å
α = 94.68°, β = 78.14°, γ = 90.00°
Fractional positions:
La 0.500 0.000 0.000
Tb 0.823 0.062 0.354
Tb 0.963 0.254 0.074
Tb 0.177 0.938 0.646
Tb 0.037 0.746 0.926
Pr 0.300 0.368 0.401
Pr 0.359 0.768 0.282
Pr 0.641 0.232 0.718
Pr 0.500 0.500 0.000
Pr 0.700 0.632 0.599

La8Tb2Pr3 | PBE | relaxed

Computed properties:
Space group ... C2/m (12)
Total moment ... 0.0 μB per cell
E_tot ... -60.68 eV/cell

a = 5.951 Å, b = 7.760 Å, c = 11.099 Å
α = 110.46°, β = 90.04°, γ = 90.00°
Fractional positions:
La 0.001 0.676 0.352
La 0.999 0.324 0.648
La 0.999 0.137 0.273
La 0.001 0.863 0.727
La 0.500 0.598 0.787
La 0.500 0.189 0.787
La 0.500 0.811 0.213
La 0.500 0.402 0.213
Tb 0.499 0.242 0.484
Tb 0.501 0.758 0.516
Pr 0.500 0.000 0.000
Pr 0.000 0.283 0.000
Pr 0.000 0.717 0.000

La3TbPr2 | PBE | relaxed

Computed properties:
Space group ... Pnnm (58)
Total moment ... 0.0 μB per cell
E_tot ... -55.28 eV/cell

a = 3.485 Å, b = 6.987 Å, c = 17.756 Å
α = 90.00°, β = 90.00°, γ = 90.00°
Fractional positions:
La 0.000 0.000 0.000
La 0.500 0.500 0.500
La 0.500 0.749 0.832
La 0.500 0.251 0.168
La 0.000 0.249 0.668
La 0.000 0.751 0.332
Tb 0.000 0.000 0.500
Tb 0.500 0.500 0.000
Pr 0.500 0.761 0.164
Pr 0.000 0.261 0.336
Pr 0.000 0.739 0.664
Pr 0.500 0.239 0.836

La4TbPr3 | PBE | relaxed

Computed properties:
Space group ... C2/m (12)
Total moment ... 0.0 μB per cell
E_tot ... -37.18 eV/cell

a = 3.556 Å, b = 6.331 Å, c = 13.075 Å
α = 93.96°, β = 97.81°, γ = 90.00°
Fractional positions:
Pr 0.000 0.500 0.000
Pr 0.144 0.741 0.288
Pr 0.856 0.259 0.712
Tb 0.500 0.000 0.000
La 0.720 0.243 0.440
La 0.280 0.757 0.560
La 0.105 0.229 0.211
La 0.895 0.771 0.789

La2Tb6Pr | PBE | relaxed

Computed properties:
Space group ... C2/m (12)
Total moment ... 0.0 μB per cell
E_tot ... -41.85 eV/cell

a = 3.529 Å, b = 12.195 Å, c = 12.195 Å
α = 48.12°, β = 54.69°, γ = 54.69°
Fractional positions:
La 0.333 0.667 0.667
La 0.667 0.333 0.333
Tb 0.834 0.333 0.000
Tb 0.166 0.000 0.667
Tb 0.166 0.667 0.000
Tb 0.500 0.333 0.667
Tb 0.834 0.000 0.333
Tb 0.500 0.667 0.333
Pr 0.000 0.000 0.000

La8Tb3Pr4 | PBE | relaxed

Computed properties:
Space group ... C2/m (12)
Total moment ... 0.0 μB per cell
E_tot ... -68.30 eV/cell

a = 6.951 Å, b = 9.500 Å, c = 9.500 Å
α = 82.17°, β = 111.69°, γ = 111.69°
Fractional positions:
La 0.241 0.247 0.247
La 0.000 0.700 0.300
La 0.799 0.301 0.301
La 0.500 0.753 0.247
La 0.500 0.247 0.753
La 0.201 0.699 0.699
La 0.000 0.300 0.700
La 0.759 0.753 0.753
Tb 0.500 0.500 0.000
Tb 0.500 0.000 0.500
Tb 0.500 0.500 0.500
Pr 0.500 0.000 0.000
Pr 0.000 0.500 0.000
Pr 0.000 0.000 0.000
Pr 0.000 0.000 0.500

LaTbPr4 | PBE | relaxed

Computed properties:
Space group ... C2/m (12)
Total moment ... 0.0 μB per cell
E_tot ... -54.28 eV/cell

a = 8.917 Å, b = 7.017 Å, c = 8.628 Å
α = 113.99°, β = 67.56°, γ = 90.00°
Fractional positions:
La 0.193 0.219 0.438
La 0.807 0.781 0.562
Tb 0.783 0.401 0.802
Tb 0.217 0.599 0.198
Pr 0.797 0.203 0.405
Pr 0.564 0.366 0.219
Pr 0.000 0.257 0.000
Pr 0.436 0.147 0.781
Pr 0.203 0.797 0.595
Pr 0.436 0.634 0.781
Pr 0.000 0.743 0.000
Pr 0.564 0.853 0.219

> Which of these has the lowest E_tot?

LaTb6Pr3

Please write out number 6 again, unchanged.
LaTb4Pr5 | PBE | relaxed

Computed properties:
Space group ... C2/m (12)
Total moment ... 0.0 μB per cell
E_tot ... -46.12 eV/cell

a = 3.662 Å, b = 11.249 Å, c = 8.888 Å
α = 94.68°, β = 78.14°, γ = 90.00°
Fractional positions:
La 0.500 0.000 0.000
Tb 0.823 0.062 0.354
Tb 0.963 0.254 0.074
Tb 0.177 0.938 0.646
Tb 0.037 0.746 0.926
Pr 0.300 0.368 0.401
Pr 0.359 0.768 0.282
Pr 0.641 0.232 0.718
Pr 0.500 0.500 0.000
Pr 0.700 0.632 0.599